4
Lattice="-1.979 1.979 3.936 1.979 -1.979 3.936 1.979 1.979 -3.936" Properties=species:S:1:pos:R:3 comment="GGA-PBE NiMo2Br, relaxed" final_energy_ev_per_atom=-6.33 dos_at_fermi_per_ev_cell=6.75 density_g_cm3=8.90 magnetic_moment_mub_per_fu=0.0 pbc="T T T"
Ni 0.000 0.000 0.000
Mo 0.000 0.000 3.936
Mo 0.000 1.979 1.968
Br 1.979 0.000 1.968